Entry 1:
Compound: YPSe
Source: the Alexandria database
Functional: PBE-GGA
Structure: optimized geometry

Lattice parameters (Å, degrees): 5.497 5.497 8.142 104.31 104.31 38.34
Element x y z (fractional)
Y (0.000, 0.000, 0.000)
Y (0.110, 0.110, 0.632)
P (0.181, 0.181, 0.321)
P (0.540, 0.540, 0.316)
Se (0.404, 0.404, 0.712)
Se (0.708, 0.708, 0.933)

Output
Formation energy from raw total energies in eV per atom: -1.15
Density of states at the Fermi level in states/eV/f.u.: 0.764
VASP energy in eV for the cell shown: -37.61

Entry 2:
Compound: TiCdSb3
Source: the Alexandria database
Functional: PBE-GGA
Structure: optimized geometry

Lattice parameters (Å, degrees): 5.277 5.277 5.277 90.00 90.00 90.00
Element x y z (fractional)
Ti (0.000, 0.000, 0.000)
Cd (0.500, 0.500, 0.500)
Sb (0.000, 0.000, 0.500)
Sb (0.000, 0.500, 0.000)
Sb (0.500, 0.000, 0.000)

Output
Formation energy from raw total energies in eV per atom: 0.15
Density of states at the Fermi level in states/eV/f.u.: 3.467
VASP energy in eV for the cell shown: -20.45

Entry 3:
Compound: Pm4ScCd
Source: the Alexandria database
Functional: PBE-GGA
Structure: optimized geometry

Lattice parameters (Å, degrees): 5.342 5.342 7.394 90.00 90.00 90.00
Element x y z (fractional)
Pm (0.000, 0.500, 0.249)
Pm (0.000, 0.500, 0.751)
Pm (0.500, 0.000, 0.249)
Pm (0.500, 0.000, 0.751)
Sc (0.000, 0.000, 0.500)
Cd (0.500, 0.500, 0.000)

Output
Density of states at the Fermi level in states/eV/f.u.: 7.964
Energy of formation in eV per atom: 0.3450
VASP energy in eV for the cell shown: -24.18

Entry 4:
Compound: TbSm5Bi6
Source: the Alexandria database
Functional: PBE-GGA
Structure: optimized geometry

Lattice parameters (Å, degrees): 7.878 7.878 7.877 99.61 99.61 120.00
Element x y z (fractional)
Tb (0.000, 0.000, 0.000)
Sm (0.168, 0.832, 0.500)
Sm (0.334, 0.666, 0.000)
Sm (0.500, 0.500, 0.500)
Sm (0.666, 0.334, 0.000)
Sm (0.832, 0.168, 0.500)
Bi (0.083, 0.414, 0.248)
Bi (0.248, 0.248, 0.751)
Bi (0.414, 0.083, 0.248)
Bi (0.586, 0.917, 0.752)
Bi (0.752, 0.752, 0.249)
Bi (0.917, 0.586, 0.752)

Output
Density of states at the Fermi level in states/eV/f.u.: 2.096
Energy of formation in eV per atom: -0.9176
VASP energy in eV for the cell shown: -62.52

Entry 5:
Compound: Ba2IrBrO4
Source: the Alexandria database
Functional: PBE-GGA
Structure: optimized geometry

Lattice parameters (Å, degrees): 5.140 5.140 10.382 108.55 108.55 39.90
Element x y z (fractional)
Ba (0.171, 0.171, 0.276)
Ba (0.829, 0.829, 0.724)
Ir (0.000, 0.000, 0.500)
Br (0.500, 0.500, 0.000)
O (0.117, 0.117, 0.690)
O (0.390, 0.390, 0.534)
O (0.610, 0.610, 0.466)
O (0.883, 0.883, 0.310)

Output
Formation energy from raw total energies in eV per atom: -1.68
Density of states at the Fermi level in states/eV/f.u.: 0.075
VASP energy in eV for the cell shown: -47.68

Entry 6:
Compound: NdPu2CrC4
Source: the Alexandria database
Functional: PBE-GGA
Structure: optimized geometry

Lattice parameters (Å, degrees): 6.036 6.036 11.943 90.00 90.00 145.89
Element x y z (fractional)
Nd (0.106, 0.894, 0.750)
Nd (0.894, 0.106, 0.250)
Pu (0.370, 0.630, 0.544)
Pu (0.370, 0.630, 0.956)
Pu (0.630, 0.370, 0.044)
Pu (0.630, 0.370, 0.456)
Cr (0.164, 0.836, 0.250)
Cr (0.836, 0.164, 0.750)
C (0.000, 0.000, 0.000)
C (0.000, 0.000, 0.500)
C (0.259, 0.741, 0.128)
C (0.259, 0.741, 0.372)
C (0.412, 0.588, 0.750)
C (0.588, 0.412, 0.250)
C (0.741, 0.259, 0.628)
C (0.741, 0.259, 0.872)

Output
Density of states at the Fermi level in states/eV/f.u.: 12.907
Energy of formation in eV per atom: 0.0358
VASP energy in eV for the cell shown: -159.33

Entry 7:
Compound: CsLiNbCl6
Source: the Alexandria database
Functional: PBE-GGA
Structure: optimized geometry

Lattice parameters (Å, degrees): 6.660 6.660 15.441 90.00 90.00 120.00
Element x y z (fractional)
Cs (0.000, 0.000, 0.000)
Cs (0.000, 0.000, 0.500)
Li (0.333, 0.667, 0.250)
Li (0.667, 0.333, 0.750)
Nb (0.333, 0.667, 0.750)
Nb (0.667, 0.333, 0.250)
Cl (0.017, 0.387, 0.658)
Cl (0.017, 0.630, 0.842)
Cl (0.370, 0.387, 0.842)
Cl (0.370, 0.983, 0.658)
Cl (0.387, 0.017, 0.158)
Cl (0.387, 0.370, 0.342)
Cl (0.613, 0.630, 0.658)
Cl (0.613, 0.983, 0.842)
Cl (0.630, 0.017, 0.342)
Cl (0.630, 0.613, 0.158)
Cl (0.983, 0.370, 0.158)
Cl (0.983, 0.613, 0.342)

Output
Formation energy from raw total energies in eV per atom: -1.55
Density of states at the Fermi level in states/eV/f.u.: 7.688
VASP energy in eV for the cell shown: -75.73

Entry 8:
Compound: Ag3GeB
Source: the Alexandria database
Functional: PBE-GGA
Structure: optimized geometry

Lattice parameters (Å, degrees): 4.892 4.892 4.892 90.00 90.00 90.00
Element x y z (fractional)
Ag (0.000, 0.000, 0.500)
Ag (0.000, 0.500, 0.000)
Ag (0.500, 0.000, 0.000)
Ge (0.000, 0.000, 0.000)
B (0.500, 0.500, 0.500)

Output
Density of states at the Fermi level in states/eV/f.u.: 1.204
Energy of formation in eV per atom: 1.3055
VASP energy in eV for the cell shown: -13.32

Entry 9:
Compound: Zr2AlV
Source: the Alexandria database
Functional: PBE-GGA
Structure: optimized geometry

Lattice parameters (Å, degrees): 5.650 5.650 5.713 90.00 90.00 122.83
Element x y z (fractional)
Zr (0.000, 0.000, 0.000)
Zr (0.153, 0.847, 0.514)
Zr (0.500, 0.500, 0.280)
Zr (0.847, 0.153, 0.514)
Al (0.000, 0.500, 0.084)
Al (0.500, 0.000, 0.084)
V (0.392, 0.608, 0.754)
V (0.608, 0.392, 0.754)

Output
Density of states at the Fermi level in states/eV/f.u.: 4.703
Energy of formation in eV per atom: -0.1265
VASP energy in eV for the cell shown: -60.93

Entry 10:
Compound: PrSmErTm3
Source: the Alexandria database
Functional: PBE-GGA
Structure: optimized geometry

Lattice parameters (Å, degrees): 6.370 6.370 11.640 90.00 90.00 125.71
Element x y z (fractional)
Pr (0.000, 0.000, 0.000)
Pr (0.000, 0.000, 0.500)
Sm (0.498, 0.502, 0.750)
Sm (0.502, 0.498, 0.250)
Er (0.175, 0.825, 0.750)
Er (0.825, 0.175, 0.250)
Tm (0.173, 0.827, 0.250)
Tm (0.327, 0.673, 0.002)
Tm (0.327, 0.673, 0.498)
Tm (0.673, 0.327, 0.502)
Tm (0.673, 0.327, 0.998)
Tm (0.827, 0.173, 0.750)

Output
Density of states at the Fermi level in states/eV/f.u.: 12.287
Energy of formation in eV per atom: 0.1138
VASP energy in eV for the cell shown: -53.59

Entry 11:
Compound: CoTc2HRu
Source: the Alexandria database
Functional: PBE-GGA
Structure: optimized geometry

Lattice parameters (Å, degrees): 3.853 3.853 3.744 90.00 90.00 90.00
Element x y z (fractional)
Co (0.000, 0.000, 0.000)
Tc (0.000, 0.500, 0.500)
Tc (0.500, 0.000, 0.500)
H (0.000, 0.000, 0.500)
Ru (0.500, 0.500, 0.000)

Output
Density of states at the Fermi level in states/eV/f.u.: 5.054
VASP energy in eV for the cell shown: -40.08

Entry 12:
Compound: AsPW2
Source: the Alexandria database
Functional: PBE-GGA
Structure: optimized geometry

Lattice parameters (Å, degrees): 8.996 8.996 8.996 154.56 154.56 36.29
Element x y z (fractional)
As (0.000, 0.000, 0.000)
As (0.750, 0.250, 0.500)
P (0.250, 0.750, 0.500)
P (0.500, 0.500, 0.000)
W (0.144, 0.625, 0.019)
W (0.375, 0.394, 0.519)
W (0.606, 0.125, 0.981)
W (0.875, 0.856, 0.481)

Output
Density of states at the Fermi level in states/eV/f.u.: 3.683
Energy of formation in eV per atom: 0.5404
VASP energy in eV for the cell shown: -67.61

Entry 13:
Compound: KTi3Se3
Source: the Alexandria database
Functional: PBE-GGA
Structure: optimized geometry

Lattice parameters (Å, degrees): 9.347 9.347 4.642 90.00 90.00 120.00
Element x y z (fractional)
K (0.333, 0.667, 0.250)
K (0.667, 0.333, 0.750)
Ti (0.031, 0.834, 0.250)
Ti (0.166, 0.197, 0.250)
Ti (0.197, 0.031, 0.750)
Ti (0.803, 0.969, 0.250)
Ti (0.834, 0.803, 0.750)
Ti (0.969, 0.166, 0.750)
Se (0.056, 0.706, 0.750)
Se (0.294, 0.350, 0.750)
Se (0.350, 0.056, 0.250)
Se (0.650, 0.944, 0.750)
Se (0.706, 0.650, 0.250)
Se (0.944, 0.294, 0.250)

Output
Formation energy from raw total energies in eV per atom: -0.99
Density of states at the Fermi level in states/eV/f.u.: 2.892
VASP energy in eV for the cell shown: -84.38